Record 1
Crystalline HoMgIn6 at its relaxed geometry, computed with PBE-GGA.

The structure in POSCAR format:
```
HoMgIn6
1.0
4.597 0.000 0.000
0.000 6.596 -0.036
0.000 0.048 6.596
In Mg Ho
6 1 1
Direct
0.500 0.000 0.500 In
0.000 0.253 0.747 In
0.500 0.500 0.000 In
0.000 0.747 0.747 In
0.000 0.253 0.253 In
0.000 0.747 0.253 In
0.500 0.500 0.500 Mg
0.500 0.000 0.000 Ho
```

Results
* magnetic moment: 0.00 μB per formula unit
* energy relative to the elements: -178 meV/atom
* density of states at the Fermi level: 0.543 states/eV per atom
* crystal system: orthorhombic



Record 2
Crystalline SrCo2Tc at its relaxed geometry, computed with PBE-GGA.

The structure in POSCAR format:
```
SrCo2Tc
1.0
3.941 0.000 0.000
0.000 3.425 0.001
0.000 1.320 5.748
Tc Co Sr
1 2 1
Direct
0.500 0.736 0.918 Tc
0.500 0.137 0.176 Co
0.000 0.108 0.948 Co
0.000 0.519 0.458 Sr
```

Results
* magnetic moment: 0.00 μB per formula unit
* energy relative to the elements: 609 meV/atom
* density of states at the Fermi level: 1.388 states/eV per atom
* crystal system: monoclinic
* polymorph energy (0 for the lowest one): 329 meV/atom



Record 3
Crystalline Np2Al12V at its relaxed geometry, computed with PBE-GGA.

The structure in POSCAR format:
```
Np2Al12V
1.0
-0.960 -4.921 -2.890
-2.393 -2.314 4.734
-15.261 5.832 -4.863
V Al Np
2 24 4
Direct
0.000 0.500 0.000 V
0.500 0.000 0.000 V
0.826 0.674 0.432 Al
0.250 0.250 0.097 Al
0.500 0.500 0.341 Al
0.250 0.250 0.903 Al
0.826 0.326 0.568 Al
0.000 0.000 0.341 Al
0.674 0.826 0.568 Al
0.250 0.750 0.097 Al
0.500 0.500 0.196 Al
0.250 0.750 0.903 Al
0.750 0.750 0.903 Al
0.750 0.250 0.903 Al
0.674 0.174 0.432 Al
0.750 0.750 0.097 Al
0.000 0.000 0.196 Al
0.000 0.000 0.659 Al
0.326 0.826 0.432 Al
0.000 0.000 0.804 Al
0.326 0.174 0.568 Al
0.750 0.250 0.097 Al
0.174 0.674 0.568 Al
0.174 0.326 0.432 Al
0.500 0.500 0.804 Al
0.500 0.500 0.659 Al
0.000 0.500 0.744 Np
0.500 0.000 0.256 Np
0.500 0.000 0.744 Np
0.000 0.500 0.256 Np
```

Results
* magnetic moment: 7.54 μB per formula unit
* energy relative to the elements: 33 meV/atom
* density of states at the Fermi level: 1.205 states/eV per atom
* crystal system: tetragonal